The following is a PBE-GGA calculation of Nb2AgS after structural relaxation, from the Alexandria database.

Cell and atoms, written as POSCAR:
```
Nb2AgS
1.0
3.8887 0.0000 0.0000
0.0000 3.8887 0.0000
1.9444 1.9444 9.6822
Ag Nb S
2 4 2
Direct
0.0000 0.0000 0.0000
0.7500 0.2500 0.5000
0.6116 0.1250 0.2500
0.1384 0.6250 0.2500
0.8750 0.8616 0.7500
0.3750 0.3884 0.7500
0.2500 0.7500 0.5000
0.5000 0.5000 0.0000
```

Calculated values
energy relative to the elements, uncorrected: 0.410 eV/atom
space group: No. 122

***

The following is a PBE-GGA calculation of Ti2InGe after structural relaxation, from the Alexandria database.

Cell and atoms, written as POSCAR:
```
Ti2InGe
1.0
-2.0461 -3.5682 -6.0431
-5.5468 -3.0340 3.6695
-5.4840 -1.0981 -1.9162
Ti Ge In
4 2 2
Direct
0.6043 0.1250 0.2500
0.3750 0.3957 0.7500
0.8750 0.8543 0.7500
0.1457 0.6250 0.2500
0.2500 0.7500 0.5000
0.5000 0.5000 0.0000
0.7500 0.2500 0.5000
0.0000 0.0000 0.0000
```

Calculated values
energy of formation from the pure elements: -0.04 eV per atom
space group: No. 122

***

The following is a PBE-GGA calculation of BaY2Tl after structural relaxation, from the Alexandria database.

Cell and atoms, written as POSCAR:
```
BaY2Tl
1.0
3.8970 0.0000 0.0000
0.0000 3.8970 0.0000
0.0000 0.0000 9.4995
Tl Ba Y
1 1 2
Direct
0.5000 0.5000 0.7924
0.0000 0.0000 0.5347
0.0000 0.0000 0.9715
0.5000 0.5000 0.2014
```

Calculated values
energy relative to the lowest polymorph listed for this composition: 0.00 eV/f.u.
energy of formation from the pure elements: -0.10 eV per atom
space group: No. 99

***

The following is a PBE-GGA calculation of Pa2Ni15Rh2 after structural relaxation, from the Alexandria database.

Cell and atoms, written as POSCAR:
```
Pa2Ni15Rh2
1.0
-5.7501 2.2664 1.4877
-2.7194 -5.6824 0.8538
0.8597 -0.1743 6.2964
Ni Rh Pa
15 2 2
Direct
0.0000 0.0000 0.5000
0.5000 0.0000 0.0000
0.3401 0.6599 0.0000
0.6599 0.3401 0.0000
0.8130 0.3399 0.3399
0.3399 0.3399 0.8130
0.0000 0.6599 0.3401
0.6601 0.6601 0.1870
0.6601 0.1870 0.6601
0.0000 0.5000 0.0000
0.6599 0.0000 0.3401
0.0000 0.3401 0.6599
0.3401 0.0000 0.6599
0.1870 0.6601 0.6601
0.3399 0.8130 0.3399
0.6271 0.6271 0.6271
0.3729 0.3729 0.3729
0.8393 0.8393 0.8393
0.1607 0.1607 0.1607
```

Calculated values
energy relative to the lowest polymorph listed for this composition: 3.65 eV/f.u.
energy of formation from the pure elements: -0.07 eV per atom
space group: No. 166

***

The following is a PBE-GGA calculation of Na2ZrN2 after structural relaxation, from the Alexandria database.

Cell and atoms, written as POSCAR:
```
Na2ZrN2
1.0
-0.1299 -3.3026 -0.6080
0.3702 1.1156 3.1484
-8.9021 0.1685 0.9870
Na N Zr
2 2 1
Direct
0.3333 0.6667 0.7096
0.6667 0.3333 0.2904
0.6667 0.3333 0.8699
0.3333 0.6667 0.1301
0.0000 0.0000 0.0000
```

Calculated values
energy relative to the elements, uncorrected: -0.663 eV/atom
space group: No. 164

***

The following is a PBE-GGA calculation of K2PaRe2N6 after structural relaxation, from the Alexandria database.

Cell and atoms, written as POSCAR:
```
K2PaRe2N6
1.0
-4.3142 -2.4596 -3.6021
3.6385 -3.7350 3.4169
-5.0780 3.8738 3.4366
N Re Pa K
6 2 1 2
Direct
0.7323 0.9605 0.2607
0.7718 0.0395 0.7393
0.2426 0.4852 0.3264
0.2282 0.9605 0.2607
0.7574 0.5148 0.6736
0.2677 0.0395 0.7393
0.0503 0.1006 0.2092
0.9497 0.8994 0.7908
0.5000 0.0000 0.5000
0.2911 0.5822 0.8297
0.7089 0.4178 0.1703
```

Calculated values
energy relative to the elements, uncorrected: -0.551 eV/atom
space group: No. 12

***

The following is a PBE-GGA calculation of LiPuIn2 after structural relaxation, from the Alexandria database.

Cell and atoms, written as POSCAR:
```
LiPuIn2
1.0
-1.0497 2.2451 -2.1921
-2.5138 -1.9851 -0.8294
-4.6508 3.4728 5.7841
In Li Pu
2 1 1
Direct
0.0000 0.0000 0.2105
0.0000 0.0000 0.7895
0.5000 0.5000 0.0000
0.5000 0.5000 0.5000
```

Calculated values
energy of formation from the pure elements: -0.25 eV per atom
space group: No. 123

***

The following is a PBE-GGA calculation of NbPdS after structural relaxation, from the Alexandria database.

Cell and atoms, written as POSCAR:
```
NbPdS
1.0
5.5836 0.0000 -0.0031
0.0000 3.0807 0.0000
-0.7971 0.0000 5.8779
Pd Nb S
2 2 2
Direct
0.8543 0.5000 0.6302
0.1718 0.5000 0.0475
0.4619 0.0000 0.7872
0.5419 0.0000 0.3055
0.2491 0.5000 0.4884
0.7410 0.5000 0.0491
```

Calculated values
energy relative to the lowest polymorph listed for this composition: 0.09 eV/f.u.
energy relative to the elements, uncorrected: -0.533 eV/atom
space group: No. 6

***

no.,energy (eV per atom),magnetic moment (μB per formula unit),calculated density (g/cm³)
1,-6.369,0.000,7.4
2,-5.822,0.000,6.1
3,-4.409,1.036,6.0
4,-6.404,4.882,10.1
5,-6.230,0.000,3.1
6,-8.418,0.000,6.2
7,-5.681,5.766,8.9
8,-6.996,0.000,7.6